# K2Zn2Au3 PBE-GGA optimized geometry
# * formation enthalpy at 0 K: -0.21 eV/atom
data_K2Zn2Au3
_space_group_name_H-M_alt 'C 1 2/m 1'
_space_group_IT_number 12
_space_group_name_Hall '-C 2y'
_cell_length_a 11.828
_cell_length_b 4.513
_cell_length_c 7.583
_cell_angle_alpha 90.00
_cell_angle_beta 124.06
_cell_angle_gamma 90.00
loop_
_atom_site_label
_atom_site_fract_x
_atom_site_fract_y
_atom_site_fract_z
K1 0.162 0.000 0.291
Zn1 0.138 0.000 0.768
Au1 0.000 0.500 0.500
Au2 0.095 0.500 0.931


# K2ZnAu PBE-GGA optimized geometry
# * formation enthalpy at 0 K: -0.19 eV/atom
data_K2ZnAu
_space_group_name_H-M_alt 'P 1 m 1'
_space_group_IT_number 6
_space_group_name_Hall 'P -2y'
_cell_length_a 5.068
_cell_length_b 4.621
_cell_length_c 6.520
_cell_angle_alpha 90.00
_cell_angle_beta 112.73
_cell_angle_gamma 90.00
loop_
_atom_site_label
_atom_site_fract_x
_atom_site_fract_y
_atom_site_fract_z
K1 0.000 0.000 0.000
K2 0.292 0.500 0.587
Zn1 0.693 0.000 0.390
Au1 0.595 0.500 0.190


# K2ZnAu PBE-GGA optimized geometry
# * formation enthalpy at 0 K: -0.18 eV/atom
data_K2ZnAu
_space_group_name_H-M_alt 'C m c m'
_space_group_IT_number 63
_space_group_name_Hall '-C 2c 2'
_cell_length_a 10.238
_cell_length_b 8.279
_cell_length_c 6.067
_cell_angle_alpha 90.00
_cell_angle_beta 90.00
_cell_angle_gamma 90.00
loop_
_atom_site_label
_atom_site_fract_x
_atom_site_fract_y
_atom_site_fract_z
K1 0.174 0.143 0.250
Zn1 0.000 0.500 0.000
Au1 0.000 0.241 0.750


no.,density of states at the Fermi level (states/eV per cell),relative energy among the computed polymorphs (meV per atom),electronic total energy (eV per cell)
1,3.27,53,-32.07
2,1.26,11,-7.50
3,6.37,17,-29.90